Entry 1:
DFT (GGA-PBE) results for ZrAlAs after structural relaxation.

Symmetry   Cm

abc: 8.2857 8.2857 3.9368
angles: 93.54 93.54 25.30
Sites, in units of the cell vectors:
Zr (0.0000, 0.0000, 0.0000)
Zr (0.1864, 0.1864, 0.5415)
Al (0.3534, 0.3534, 0.9497)
Al (0.8656, 0.8656, 0.4563)
As (0.5524, 0.5524, 0.5163)
As (0.7262, 0.7262, 0.0504)

***

Entry 2:
DFT (GGA-PBE) results for Zr2AlAs after structural relaxation.

Symmetry   P2/m

abc: 3.2197 3.8868 6.3456
angles: 90.00 100.57 90.00
Sites, in units of the cell vectors:
Zr (0.0489, 0.0000, 0.2549)
Zr (0.9511, 0.0000, 0.7451)
Al (0.5000, 0.5000, 0.0000)
As (0.5000, 0.5000, 0.5000)

***

Entry 3:
DFT (GGA-PBE) results for ZrAl2As after structural relaxation.

Symmetry   Cmmm

abc: 5.0840 5.0840 3.1651
angles: 90.00 90.00 114.97
Sites, in units of the cell vectors:
Zr (0.0000, 0.0000, 0.0000)
Al (0.0000, 0.5000, 0.5000)
Al (0.5000, 0.0000, 0.5000)
As (0.5000, 0.5000, 0.0000)

***

Entry 4:
DFT (GGA-PBE) results for ZrAlAs4 after structural relaxation.

Symmetry   F-43m

abc: 5.5261 5.5261 5.5261
angles: 60.00 60.00 60.00
Sites, in units of the cell vectors:
Zr (0.0000, 0.0000, 0.0000)
Al (0.7500, 0.7500, 0.7500)
As (0.3748, 0.3748, 0.3748)
As (0.3748, 0.3748, 0.8756)
As (0.3748, 0.8756, 0.3748)
As (0.8756, 0.3748, 0.3748)

***

Entry 5:
DFT (GGA-PBE) results for ZrAlAs after structural relaxation.

Symmetry   Fdd2

abc: 6.4302 5.1851 5.3497
angles: 75.21 51.23 53.55
Sites, in units of the cell vectors:
Zr (0.0000, 0.0000, 0.0000)
Zr (0.2500, 0.2500, 0.2500)
Al (0.3442, 0.3442, 0.6558)
Al (0.5942, 0.5942, 0.9058)
As (0.6660, 0.6660, 0.3340)
As (0.9160, 0.9160, 0.5840)

***

Entry 6:
DFT (GGA-PBE) results for Zr2AlAs after structural relaxation.

Symmetry   Cmmm

abc: 3.1995 3.1995 7.8424
angles: 90.00 90.00 101.64
Sites, in units of the cell vectors:
Zr (0.0000, 0.0000, 0.2382)
Zr (0.0000, 0.0000, 0.7618)
Al (0.5000, 0.5000, 0.5000)
As (0.5000, 0.5000, 0.0000)

***

Entry 7:
DFT (GGA-PBE) results for ZrAlAs after structural relaxation.

Symmetry   Cm

abc: 5.1782 5.1782 6.4708
angles: 100.62 100.62 41.71
Sites, in units of the cell vectors:
Zr (0.0000, 0.0000, 0.0000)
Zr (0.7470, 0.7470, 0.3578)
Al (0.0601, 0.0601, 0.5667)
Al (0.3346, 0.3346, 0.7217)
As (0.4522, 0.4522, 0.2999)
As (0.7015, 0.7015, 0.9292)

***

Entry 8:
DFT (GGA-PBE) results for ZrAlAs after structural relaxation.

Symmetry   F-43m

abc: 4.5191 4.5191 4.5191
angles: 60.00 60.00 60.00
Sites, in units of the cell vectors:
Zr (0.0000, 0.0000, 0.0000)
Al (0.5000, 0.5000, 0.5000)
As (0.2500, 0.2500, 0.2500)

***

Entry 9:
DFT (GGA-PBE) results for ZrAl2As after structural relaxation.

Symmetry   P2/m

abc: 2.9689 4.8652 5.2063
angles: 90.00 100.60 90.00
Sites, in units of the cell vectors:
Zr (0.0000, 0.0000, 0.0000)
Al (0.3864, 0.5000, 0.7471)
Al (0.6136, 0.5000, 0.2529)
As (0.5000, 0.0000, 0.5000)

***

Entry 10:
DFT (GGA-PBE) results for Zr2Al2As after structural relaxation.

Symmetry   P4/mbm

abc: 7.0106 7.0106 4.2395
angles: 90.00 90.00 90.00
Sites, in units of the cell vectors:
Zr (0.1647, 0.3353, 0.0000)
Zr (0.3353, 0.8353, 0.0000)
Zr (0.6647, 0.1647, 0.0000)
Zr (0.8353, 0.6647, 0.0000)
Al (0.1371, 0.6371, 0.5000)
Al (0.3629, 0.1371, 0.5000)
Al (0.6371, 0.8629, 0.5000)
Al (0.8629, 0.3629, 0.5000)
As (0.0000, 0.0000, 0.0000)
As (0.5000, 0.5000, 0.0000)

***

Entry 11:
DFT (GGA-PBE) results for ZrAlAs after structural relaxation.

Symmetry   F-43m

abc: 4.5946 4.5946 4.5946
angles: 60.00 60.00 60.00
Sites, in units of the cell vectors:
Zr (0.0000, 0.0000, 0.0000)
Al (0.7500, 0.7500, 0.7500)
As (0.2500, 0.2500, 0.2500)

***

Entry 12:
DFT (GGA-PBE) results for Al3Au after structural relaxation.

Symmetry   I4/mmm

abc: 4.9652 4.9652 4.9652
angles: 131.74 131.74 70.64
Sites, in units of the cell vectors:
Al (0.0000, 0.0000, 0.0000)
Al (0.2500, 0.7500, 0.5000)
Al (0.7500, 0.2500, 0.5000)
Au (0.5000, 0.5000, 0.0000)

***

Entry 13:
DFT (GGA-PBE) results for Al5Au after structural relaxation.

Symmetry   Amm2

abc: 4.4858 7.8164 7.8164
angles: 21.83 90.00 90.00
Sites, in units of the cell vectors:
Al (0.0000, 0.0000, 0.0000)
Al (0.0000, 0.3278, 0.3278)
Al (0.5000, 0.1138, 0.1138)
Al (0.5000, 0.4442, 0.4442)
Al (0.5000, 0.7773, 0.7773)
Au (0.0000, 0.6599, 0.6599)

***

Entry 14:
DFT (GGA-PBE) results for AlAu2 after structural relaxation.

Symmetry   P6_3/mmc

abc: 4.5222 4.5222 5.7931
angles: 90.00 90.00 120.00
Sites, in units of the cell vectors:
Al (0.3333, 0.6667, 0.2500)
Al (0.6667, 0.3333, 0.7500)
Au (0.0000, 0.0000, 0.0000)
Au (0.0000, 0.0000, 0.5000)
Au (0.3333, 0.6667, 0.7500)
Au (0.6667, 0.3333, 0.2500)

***

Entry 15:
DFT (GGA-PBE) results for AlAu5 after structural relaxation.

Symmetry   P6/mmm

abc: 5.4737 5.4737 4.7833
angles: 90.00 90.00 120.00
Sites, in units of the cell vectors:
Al (0.0000, 0.0000, 0.0000)
Au (0.0000, 0.5000, 0.5000)
Au (0.3333, 0.6667, 0.0000)
Au (0.5000, 0.0000, 0.5000)
Au (0.5000, 0.5000, 0.5000)
Au (0.6667, 0.3333, 0.0000)

***

Entry 16:
DFT (GGA-PBE) results for AlAu4 after structural relaxation.

Symmetry   I4/m

abc: 5.5256 5.5256 5.5256
angles: 94.52 94.52 147.40
Sites, in units of the cell vectors:
Al (0.0000, 0.0000, 0.0000)
Au (0.2231, 0.4206, 0.6437)
Au (0.4206, 0.7769, 0.1975)
Au (0.5794, 0.2231, 0.8025)
Au (0.7769, 0.5794, 0.3563)

***

Entry 17:
DFT (GGA-PBE) results for Al3Au7 after structural relaxation.

Symmetry   P6_3mc

abc: 8.5627 8.5627 5.6746
angles: 90.00 90.00 120.00
Sites, in units of the cell vectors:
Al (0.2048, 0.4095, 0.0000)
Al (0.2048, 0.7952, 0.0000)
Al (0.4095, 0.2048, 0.5000)
Al (0.5905, 0.7952, 0.0000)
Al (0.7952, 0.2048, 0.5000)
Al (0.7952, 0.5905, 0.5000)
Au (0.0606, 0.5303, 0.6697)
Au (0.1116, 0.2233, 0.6070)
Au (0.1116, 0.8884, 0.6070)
Au (0.2233, 0.1116, 0.1070)
Au (0.3333, 0.6667, 0.3116)
Au (0.4697, 0.5303, 0.6697)
Au (0.4697, 0.9394, 0.6697)
Au (0.5303, 0.0606, 0.1697)
Au (0.5303, 0.4697, 0.1697)
Au (0.6667, 0.3333, 0.8116)
Au (0.7767, 0.8884, 0.6070)
Au (0.8884, 0.1116, 0.1070)
Au (0.8884, 0.7767, 0.1070)
Au (0.9394, 0.4697, 0.1697)

***

Entry 18:
DFT (GGA-PBE) results for AlAu2 after structural relaxation.

Symmetry   Pnma

abc: 5.6944 4.4214 8.1719
angles: 90.00 90.00 90.00
Sites, in units of the cell vectors:
Al (0.2070, 0.2500, 0.0973)
Al (0.2930, 0.7500, 0.5973)
Al (0.7070, 0.2500, 0.4027)
Al (0.7930, 0.7500, 0.9027)
Au (0.0091, 0.2500, 0.7963)
Au (0.1733, 0.2500, 0.4250)
Au (0.3267, 0.7500, 0.9250)
Au (0.4909, 0.7500, 0.2963)
Au (0.5091, 0.2500, 0.7037)
Au (0.6733, 0.2500, 0.0750)
Au (0.8267, 0.7500, 0.5750)
Au (0.9909, 0.7500, 0.2037)

***

Entry 19:
DFT (GGA-PBE) results for AlAu2 after structural relaxation.

Symmetry   C2/m

abc: 5.4152 5.4152 6.3785
angles: 109.49 109.49 37.01
Sites, in units of the cell vectors:
Al (0.1767, 0.1767, 0.1402)
Al (0.8233, 0.8233, 0.8598)
Au (0.1449, 0.1449, 0.5266)
Au (0.4410, 0.4410, 0.1743)
Au (0.5590, 0.5590, 0.8257)
Au (0.8551, 0.8551, 0.4734)

***

Entry 20:
DFT (GGA-PBE) results for Al2Au after structural relaxation.

Symmetry   Fm-3m

abc: 4.2850 4.2850 4.2850
angles: 60.00 60.00 60.00
Sites, in units of the cell vectors:
Al (0.2500, 0.2500, 0.2500)
Al (0.7500, 0.7500, 0.7500)
Au (0.0000, 0.0000, 0.0000)

***

no.,uncorrected energy (eV for the cell shown)
1,-37.6
2,-27.7
3,-21.7
4,-29.7
5,-37.8
6,-27.7
7,-37.8
8,-17.0
9,-21.6
10,-63.4
11,-16.7
12,-15.0
13,-22.3
14,-22.1
15,-19.3
16,-17.8
17,-73.6
18,-44.6
19,-22.3
20,-12.0